[1]
An optimized crystal structure of Ac6TePt3Se2, computed with PBE-GGA.

The structure in POSCAR format:
```
Ac6TePt3Se2
1.0
-3.324 1.433 2.483
-1.343 -8.706 3.224
8.237 3.956 4.865
Ac Te Pt Se
6 1 3 2
Cartesian
3.019 -5.063 6.963
-0.322 -2.939 5.145
0.550 1.746 3.609
4.471 2.961 8.158
-0.902 -6.278 2.414
3.891 -0.378 5.428
-1.662 0.716 1.242
-2.334 -3.637 2.854
2.497 2.356 5.864
1.072 -5.673 4.708
1.822 -1.980 7.462
1.746 -1.337 3.110
```

## Properties
- Calculated density: 9.37 g/cm3
- Formation energy without anion corrections: -1.4601 eV per atom
- E_tot: -70.405 eV/f.u.
- Symmetry: C2/m

***

[2]
An optimized crystal structure of ReTe2Rh, computed with PBE-GGA.

The structure in POSCAR format:
```
ReTe2Rh
1.0
-4.217 4.715 5.297
-6.354 2.232 4.765
-3.930 1.884 7.005
Re Te Rh
1 2 1
Cartesian
-7.251 4.415 8.533
-10.888 6.630 12.814
-3.614 2.201 4.253
0.000 0.000 0.000
```

## Properties
- Calculated density: 11.81 g/cm3
- Formation energy without anion corrections: 0.3691 eV per atom
- E_tot: -24.607 eV/f.u.
- Energy above the most stable polymorph in this dataset: 18.42 kJ per mole of atoms
- Symmetry: R-3m

***

[3]
An optimized crystal structure of LiYGe3, computed with PBE-GGA.

The structure in POSCAR format:
```
LiYGe3
1.0
4.629 0.000 0.000
0.000 4.629 0.000
0.000 0.000 4.629
Y Ge Li
1 3 1
Cartesian
2.315 2.315 2.315
0.000 2.315 0.000
0.000 0.000 2.315
2.315 0.000 0.000
0.000 0.000 0.000
```

## Properties
- Calculated density: 5.25 g/cm3
- Calculated formation energy: -60 meV/atom
- E_tot: -22.531 eV/f.u.
- Energy above the most stable polymorph in this dataset: 0.00 kJ per mole of atoms
- Symmetry: Pm-3m

***

[4]
An optimized crystal structure of Tb4IrSe5, computed with PBE-GGA.

The structure in POSCAR format:
```
Tb4IrSe5
1.0
-0.990 3.471 1.928
-6.789 -3.537 2.881
6.994 -3.218 5.039
Tb Ir Se
4 1 5
Cartesian
-1.801 -4.133 6.515
0.877 -2.376 9.068
1.016 0.850 3.334
-1.662 -0.908 0.780
-0.495 1.736 0.964
-0.659 -1.576 6.841
2.861 0.211 5.432
-3.647 -3.494 4.417
-3.889 -0.033 2.405
-0.126 -1.707 3.008
```

## Properties
- Calculated density: 7.07 g/cm3
- Formation energy without anion corrections: -1.3549 eV per atom
- E_tot: -58.354 eV/f.u.
- Symmetry: C2/m

***

> E_tot of number 1 (Ac6TePt3Se2)?

-70.405 eV/f.u.

***

> Which value of calculated density does entry 3 give?

5.25 g/cm3

***

> Among the records above, which one has the highest calculated density?

ReTe2Rh

***

Please write out number 4 again, unchanged.
An optimized crystal structure of Tb4IrSe5, computed with PBE-GGA.

The structure in POSCAR format:
```
Tb4IrSe5
1.0
-0.990 3.471 1.928
-6.789 -3.537 2.881
6.994 -3.218 5.039
Tb Ir Se
4 1 5
Cartesian
-1.801 -4.133 6.515
0.877 -2.376 9.068
1.016 0.850 3.334
-1.662 -0.908 0.780
-0.495 1.736 0.964
-0.659 -1.576 6.841
2.861 0.211 5.432
-3.647 -3.494 4.417
-3.889 -0.033 2.405
-0.126 -1.707 3.008
```

## Properties
- Calculated density: 7.07 g/cm3
- Formation energy without anion corrections: -1.3549 eV per atom
- E_tot: -58.354 eV/f.u.
- Symmetry: C2/m